# 1
# MgZr2Sc PBE optimized geometry
data_MgZr2Sc
_symmetry_space_group_name_H-M 'P 1'
_symmetry_Int_Tables_number 1
_symmetry_space_group_name_Hall 'P 1'
_cell_length_a 3.1929
_cell_length_b 4.5270
_cell_length_c 6.3531
_cell_angle_alpha 90.00
_cell_angle_beta 90.00
_cell_angle_gamma 90.00
loop_
_atom_site_label
_atom_site_fract_x
_atom_site_fract_y
_atom_site_fract_z
Mg1 0.0000 0.0000 0.0000
Zr1 0.5000 0.5000 0.2583
Zr2 0.5000 0.5000 0.7417
Sc1 0.0000 0.0000 0.5000
# Formation enthalpy at 0 K (eV per atom): 0.04
# Symmetry: Pmmm (47)
# D(E_F) (states/eV/atom): 1.313

# 2
# Mg2ZrSc PBE optimized geometry
data_Mg2ZrSc
_symmetry_space_group_name_H-M 'P 1'
_symmetry_Int_Tables_number 1
_symmetry_space_group_name_Hall 'P 1'
_cell_length_a 3.1397
_cell_length_b 4.5816
_cell_length_c 6.4064
_cell_angle_alpha 90.00
_cell_angle_beta 90.00
_cell_angle_gamma 90.00
loop_
_atom_site_label
_atom_site_fract_x
_atom_site_fract_y
_atom_site_fract_z
Mg1 0.0000 0.0000 0.0000
Mg2 0.5000 0.5000 0.2555
Zr1 0.0000 0.0000 0.5083
Sc1 0.5000 0.5000 0.7420
# Formation enthalpy at 0 K (eV per atom): 0.04
# Symmetry: Pmm2 (25)
# D(E_F) (states/eV/atom): 0.917

# 3
# Mg2ZrSc PBE optimized geometry
data_Mg2ZrSc
_symmetry_space_group_name_H-M 'P 1'
_symmetry_Int_Tables_number 1
_symmetry_space_group_name_Hall 'P 1'
_cell_length_a 5.5761
_cell_length_b 5.5761
_cell_length_c 5.5761
_cell_angle_alpha 132.85
_cell_angle_beta 132.85
_cell_angle_gamma 68.90
loop_
_atom_site_label
_atom_site_fract_x
_atom_site_fract_y
_atom_site_fract_z
Mg1 0.0000 0.0000 0.0000
Mg2 0.7500 0.2500 0.5000
Zr1 0.5000 0.5000 0.0000
Sc1 0.2500 0.7500 0.5000
# Formation enthalpy at 0 K (eV per atom): 0.11
# Symmetry: I-4m2 (119)
# D(E_F) (states/eV/atom): 1.175

# 4
# MgZr4Sc PBE optimized geometry
data_MgZr4Sc
_symmetry_space_group_name_H-M 'P 1'
_symmetry_Int_Tables_number 1
_symmetry_space_group_name_Hall 'P 1'
_cell_length_a 5.8748
_cell_length_b 5.8748
_cell_length_c 10.0572
_cell_angle_alpha 113.68
_cell_angle_beta 113.68
_cell_angle_gamma 63.31
loop_
_atom_site_label
_atom_site_fract_x
_atom_site_fract_y
_atom_site_fract_z
Mg1 0.9997 0.0003 0.2500
Mg2 0.0003 0.9997 0.7500
Zr1 0.0598 0.5637 0.3844
Zr2 0.1163 0.6142 0.9379
Zr3 0.3858 0.8837 0.5621
Zr4 0.4363 0.9402 0.1156
Zr5 0.5637 0.0598 0.8844
Zr6 0.6142 0.1163 0.4379
Zr7 0.8837 0.3858 0.0621
Zr8 0.9402 0.4363 0.6156
Sc1 0.4992 0.5008 0.2500
Sc2 0.5008 0.4992 0.7500
# Formation enthalpy at 0 K (eV per atom): 0.09
# Symmetry: C2/c (15)
# E above lowest polymorph (eV per atom): 0.041
# D(E_F) (states/eV/atom): 1.240

| no. | raw total energy (eV/f.u.) |
| --- | --- |
| 1 | -24.9 |
| 2 | -17.9 |
| 3 | -17.6 |
| 4 | -41.6 |